No. 1
Below is a relaxed Ce2GaSe crystal, with properties calculated at the PBE level.

```
Ce2GaSe
1.0
2.169 -11.618 0.000
2.169 11.618 0.000
0.000 0.000 4.149
Ce Ga Se
4 2 2
direct
0.065 0.935 0.750 Ce
0.317 0.683 0.750 Ce
0.683 0.317 0.250 Ce
0.935 0.065 0.250 Ce
0.462 0.538 0.750 Ga
0.538 0.462 0.250 Ga
0.190 0.810 0.750 Se
0.810 0.190 0.250 Se
```

DFT total energy   -5.71 eV/atom
Crystal system   orthorhombic
Space-group type   Cmcm
DOS(E_F)   22.8 states/eV/cell
ΔE to the lowest computed polymorph   0 meV per atom
Energy relative to the elements, uncorrected   -1120 meV per atom

=====

No. 2
Below is a relaxed Ce3GaSe6 crystal, with properties calculated at the PBE level.

```
Ce3GaSe6
1.0
5.749 -7.126 0.000
5.749 7.126 0.000
0.000 0.000 6.969
Ce Ga Se
6 2 12
direct
0.101 0.899 0.500 Ce
0.220 0.418 0.415 Ce
0.418 0.220 0.915 Ce
0.582 0.780 0.415 Ce
0.780 0.582 0.915 Ce
0.899 0.101 0.000 Ce
0.300 0.700 0.872 Ga
0.700 0.300 0.372 Ga
0.068 0.597 0.699 Se
0.134 0.189 0.708 Se
0.189 0.134 0.208 Se
0.281 0.719 0.222 Se
0.403 0.932 0.699 Se
0.461 0.539 0.730 Se
0.539 0.461 0.230 Se
0.597 0.068 0.199 Se
0.719 0.281 0.722 Se
0.811 0.866 0.708 Se
0.866 0.811 0.208 Se
0.932 0.403 0.199 Se
```

DFT total energy   -5.68 eV/atom
Crystal system   orthorhombic
Space-group type   Cmc2_1
DOS(E_F)   41.0 states/eV/cell
Energy relative to the elements, uncorrected   -1507 meV per atom

=====

No. 3
Below is a relaxed Ce5GaSe4 crystal, with properties calculated at the PBE level.

```
Ce5GaSe4
1.0
-4.723 4.723 2.979
4.723 -4.723 2.979
4.723 4.723 -2.979
Ce Ga Se
5 1 4
direct
0.000 0.000 0.000 Ce
0.198 0.399 0.598 Ce
0.399 0.802 0.201 Ce
0.601 0.198 0.799 Ce
0.802 0.601 0.402 Ce
0.500 0.500 0.000 Ga
0.101 0.700 0.801 Se
0.300 0.101 0.401 Se
0.700 0.899 0.599 Se
0.899 0.300 0.199 Se
```

DFT total energy   -6.19 eV/atom
Crystal system   tetragonal
Space-group type   I4/m
DOS(E_F)   28.0 states/eV/cell
Energy relative to the elements, uncorrected   -1531 meV per atom

=====

No. 4
Below is a relaxed Ce2GaSe crystal, with properties calculated at the PBE level.

```
Ce2GaSe
1.0
3.506 0.000 0.000
0.000 3.506 0.000
0.000 0.000 7.783
Ce Ga Se
2 1 1
direct
0.000 0.000 0.242 Ce
0.000 0.000 0.758 Ce
0.500 0.500 0.500 Ga
0.500 0.500 0.000 Se
```

DFT total energy   -5.56 eV/atom
Crystal system   tetragonal
Space-group type   P4/mmm
DOS(E_F)   11.1 states/eV/cell
ΔE to the lowest computed polymorph   151 meV per atom
Energy relative to the elements, uncorrected   -969 meV per atom

=====

No. 5
Below is a relaxed CeGa2Se4 crystal, with properties calculated at the PBE level.

```
CeGa2Se4
1.0
-3.907 3.907 3.204
3.907 -3.907 3.204
3.907 3.907 -3.204
Ce Ga Se
1 2 4
direct
0.000 0.000 0.000 Ce
0.250 0.750 0.500 Ga
0.750 0.250 0.500 Ga
0.186 0.662 0.848 Se
0.338 0.186 0.524 Se
0.662 0.814 0.476 Se
0.814 0.338 0.152 Se
```

DFT total energy   -4.47 eV/atom
Crystal system   tetragonal
Space-group type   I4/m
DOS(E_F)   10.7 states/eV/cell
Energy relative to the elements, uncorrected   -762 meV per atom

=====

No. 6
Below is a relaxed Ce2GaSe6 crystal, with properties calculated at the PBE level.

```
Ce2GaSe6
1.0
6.460 0.000 0.000
0.000 6.460 0.000
0.000 0.000 12.709
Ce Ga Se
4 2 12
direct
0.000 0.000 0.168 Ce
0.000 0.000 0.832 Ce
0.500 0.500 0.332 Ce
0.500 0.500 0.668 Ce
0.000 0.000 0.500 Ga
0.500 0.500 0.000 Ga
0.190 0.190 0.349 Se
0.190 0.190 0.651 Se
0.207 0.207 0.000 Se
0.293 0.707 0.500 Se
0.310 0.690 0.151 Se
0.310 0.690 0.849 Se
0.690 0.310 0.151 Se
0.690 0.310 0.849 Se
0.707 0.293 0.500 Se
0.793 0.793 0.000 Se
0.810 0.810 0.349 Se
0.810 0.810 0.651 Se
```

DFT total energy   -4.95 eV/atom
Crystal system   tetragonal
Space-group type   P4_2/mnm
DOS(E_F)   13.4 states/eV/cell
Energy relative to the elements, uncorrected   -972 meV per atom